Crystalline CaCdN2O at its relaxed geometry. Source: Alexandria via LeMat-Bulk, functional PBE.

Lattice parameters (Å, degrees): 4.2384 4.2384 4.3373 90.00 90.00 90.00
Last column: nearest neighbours and their distance in Å.
Fractional positions:
Ca (0.0000, 0.0000, 0.0000)  4 O 3.00, 8 N 3.03
Cd (0.5000, 0.5000, 0.5000)  4 N 2.12, 2 O 2.17
N (0.0000, 0.5000, 0.5000)  2 Cd 2.12
N (0.5000, 0.0000, 0.5000)  2 Cd 2.12
O (0.5000, 0.5000, 0.0000)  2 Cd 2.17

Results
size of the total moment	2.90	μB/f.u.
uncorrected energy	-21.5	eV per formula unit
E_form (uncorrected)	0.60	eV per atom
space group	P4/mmm, No. 123